A relaxed TbSmY2Se4 crystal, computed with PBE.

Its total energy is -6.305 eV per atom. As for the magnetic moment: 0.00 μB per formula unit. Its raw formation energy is -1.78 eV per atom.

It has space group P2/m (No. 10), with a = 7.1461 Å, b = 4.0622 Å, c = 7.1518 Å, α = 90.00°, β = 108.88° and γ = 90.00°. The asymmetric unit holds Tb at (0.0000, 0.0000, 0.0000), Sm at (0.5000, 0.5000, 0.0000), Y at (0.0000, 0.5000, 0.5000), Y at (0.5000, 0.0000, 0.5000), Se at (0.2449, 0.0000, 0.7443) and Se at (0.2479, 0.5000, 0.2532).